1.
A relaxed PrSm2Ag2Ge2 crystal. Source: Alexandria via LeMat-Bulk, functional PBE.

a = 4.6051 Å, b = 4.6051 Å, c = 28.1479 Å
α = 90.00°, β = 90.00°, γ = 120.00°
Space group R-3m (No. 166, hexagonal axes)
Symmetry-distinct sites (fractional):
Pr  0.0000  0.0000  0.0000 x3
Sm  0.0000  0.0000  0.1281 x6
Ag  0.0000  0.0000  0.4019 x6
Ge  0.0000  0.0000  0.2587 x6

The value obtained for the formation energy from the elements is -3.0 eV/f.u. Its density of states at the Fermi level is 3.4 states/eV/f.u. Its electronic total energy is -4.597 eV/atom.



2.
A relaxed PrSmAgGe crystal. Source: Alexandria via LeMat-Bulk, functional PBE.

a = 7.411 Å, b = 7.411 Å, c = 7.411 Å
α = 90.00°, β = 90.00°, γ = 90.00°
Space group F-43m (No. 216)
Symmetry-distinct sites (fractional):
Pr  0.000  0.000  0.000 x4
Sm  0.000  0.000  0.500 x4
Ag  0.250  0.250  0.250 x4
Ge  0.250  0.250  0.750 x4

The value obtained for the formation energy from the elements is -2.1 eV/f.u. Its density of states at the Fermi level is 4.3 states/eV/f.u. Its electronic total energy is -4.754 eV/atom.



no.,volume (A^3/atom)
1,24.62
2,25.44